GGA-PBE Sr4AlTl, optimized geometry; uncorrected energy = -10.13 eV per cell; ΔE_f = 0.451 eV/atom; symmetry = F-43m, No. 216; excess energy over the best structure of this formula in the dataset = 3.75 eV/f.u.
1.0
0.0000 5.0480 5.0480
5.0480 0.0000 5.0480
5.0480 5.0480 0.0000
Sr Al Tl
4 1 1
Direct
0.3747 0.8758 0.3747
0.3747 0.3747 0.3747
0.8758 0.3747 0.3747
0.3747 0.3747 0.8758
0.0000 0.0000 0.0000
0.7500 0.7500 0.7500